#w
Compound: NbOs2N
Source: Alexandria via LeMat-Bulk
Functional: PBE
Structure: relaxed

Cell lengths 4.314, 4.314, 4.314 Å; angles 60.00, 60.00, 60.00 degrees
Fractional coordinates of all 4 atoms:
Nb (0.500, 0.500, 0.500)
Os (0.250, 0.250, 0.250)
Os (0.750, 0.750, 0.750)
N (0.000, 0.000, 0.000)

Values from the calculation:
* space-group type: Fm-3m, No. 225
* density of states at the Fermi level: 2.4 states/eV/cell
* M_tot: 0.0 μB per formula unit

#x
Compound: NbOs2N
Source: Alexandria via LeMat-Bulk
Functional: PBE
Structure: relaxed

Cell lengths 5.475, 5.475, 5.831 Å; angles 62.00, 62.00, 90.00 degrees
Fractional coordinates of all 8 atoms:
Nb (0.000, 0.000, 0.000)
Nb (0.750, 0.250, 0.500)
Os (0.526, 0.125, 0.250)
Os (0.224, 0.625, 0.250)
Os (0.375, 0.474, 0.750)
Os (0.875, 0.776, 0.750)
N (0.500, 0.500, 0.000)
N (0.250, 0.750, 0.500)

Values from the calculation:
* space-group type: I-42d, No. 122
* density of states at the Fermi level: 3.4 states/eV/cell
* M_tot: 0.0 μB per formula unit

Most stable to least stable, the ends of the list are #x and #w.